Entry 1:
Below is an optimized crystal structure of ZrSb3H, with properties calculated at the PBE-GGA level.

a = 5.556 Å, b = 5.556 Å, c = 5.556 Å
α = 90.00°, β = 90.00°, γ = 90.00°
Sites, in units of the cell vectors:
Sb: 0.000 0.500 0.000
Sb: 0.000 0.000 0.500
Sb: 0.500 0.000 0.000
Zr: 0.000 0.000 0.000
H: 0.500 0.500 0.500

Properties
Total magnetic moment ... 0.80 μB/cell
Density of states at the Fermi level ... 4.01 states/eV/f.u.
Uncorrected energy ... -4.2202 eV/atom



Entry 2:
Below is an optimized crystal structure of Mn2AlTe, with properties calculated at the PBE-GGA level.

a = 6.321 Å, b = 6.321 Å, c = 6.321 Å
α = 35.81°, β = 35.81°, γ = 35.81°
Sites, in units of the cell vectors:
Te: 0.250 0.250 0.250
Al: 0.750 0.750 0.750
Mn: 0.011 0.011 0.011
Mn: 0.489 0.489 0.489

Properties
Total magnetic moment ... 6.84 μB/cell
Uncorrected formation energy ... 0.25 eV/atom
Density of states at the Fermi level ... 1.50 states/eV/f.u.
Uncorrected energy ... -6.0521 eV/atom



Entry 3:
Below is an optimized crystal structure of CaAlHg2, with properties calculated at the PBE-GGA level.

a = 5.813 Å, b = 6.039 Å, c = 3.380 Å
α = 75.36°, β = 86.78°, γ = 117.75°
Sites, in units of the cell vectors:
Ca: 0.500 0.500 0.000
Hg: 0.000 0.000 0.000
Hg: 0.500 0.000 0.500
Al: 0.000 0.500 0.500

Properties
Total magnetic moment ... 0.00 μB/cell
Density of states at the Fermi level ... 1.83 states/eV/f.u.
Uncorrected energy ... -1.6787 eV/atom



Entry 4:
Below is an optimized crystal structure of DyEr2Lu, with properties calculated at the PBE-GGA level.

a = 4.946 Å, b = 4.942 Å, c = 4.942 Å
α = 90.00°, β = 90.00°, γ = 90.00°
Sites, in units of the cell vectors:
Er: 0.000 0.000 0.500
Er: 0.000 0.500 0.000
Lu: 0.500 0.000 0.000
Dy: 0.500 0.500 0.500

Properties
Total magnetic moment ... 0.02 μB/cell
Density of states at the Fermi level ... 5.79 states/eV/f.u.
Uncorrected energy ... -4.5355 eV/atom



Entry 5:
Below is an optimized crystal structure of La4Pr15Dy, with properties calculated at the PBE-GGA level.

a = 5.258 Å, b = 5.258 Å, c = 26.232 Å
α = 90.00°, β = 90.00°, γ = 90.00°
Sites, in units of the cell vectors:
La: 0.000 0.000 0.199
La: 0.000 0.000 0.399
La: 0.000 0.000 0.601
La: 0.000 0.000 0.801
Pr: 0.500 0.500 0.000
Pr: 0.500 0.500 0.198
Pr: 0.500 0.500 0.400
Pr: 0.500 0.500 0.600
Pr: 0.500 0.500 0.802
Pr: 0.500 0.000 0.098
Pr: 0.500 0.000 0.299
Pr: 0.500 0.000 0.500
Pr: 0.500 0.000 0.701
Pr: 0.500 0.000 0.902
Pr: 0.000 0.500 0.098
Pr: 0.000 0.500 0.299
Pr: 0.000 0.500 0.500
Pr: 0.000 0.500 0.701
Pr: 0.000 0.500 0.902
Dy: 0.000 0.000 0.000

Properties
Total magnetic moment ... 0.00 μB/cell
Density of states at the Fermi level ... 32.93 states/eV/f.u.
Uncorrected energy ... -4.7865 eV/atom



Entry 6:
Below is an optimized crystal structure of TaTc2RuO, with properties calculated at the PBE-GGA level.

a = 4.055 Å, b = 4.159 Å, c = 4.055 Å
α = 90.00°, β = 90.00°, γ = 90.00°
Sites, in units of the cell vectors:
Ru: 0.500 0.500 0.500
Tc: 0.000 0.000 0.500
Tc: 0.500 0.000 0.000
O: 0.000 0.000 0.000
Ta: 0.000 0.500 0.000

Properties
Total magnetic moment ... 0.00 μB/cell
Uncorrected formation energy ... -0.26 eV/atom
Density of states at the Fermi level ... 5.59 states/eV/f.u.
Uncorrected energy ... -9.6261 eV/atom



Entry 7:
Below is an optimized crystal structure of SnTeS, with properties calculated at the PBE-GGA level.

a = 4.462 Å, b = 4.462 Å, c = 10.339 Å
α = 70.00°, β = 70.00°, γ = 90.67°
Sites, in units of the cell vectors:
Sn: 0.899 0.899 0.825
Sn: 0.101 0.101 0.175
Te: 0.403 0.403 0.832
Te: 0.597 0.597 0.168
S: 0.144 0.144 0.515
S: 0.856 0.856 0.485

Properties
Total magnetic moment ... 0.00 μB/cell
Uncorrected formation energy ... -0.11 eV/atom
Density of states at the Fermi level ... 0.91 states/eV/f.u.
Uncorrected energy ... -3.8666 eV/atom



Entry 8:
Below is an optimized crystal structure of Li2Be2W, with properties calculated at the PBE-GGA level.

a = 3.252 Å, b = 3.252 Å, c = 5.937 Å
α = 74.10°, β = 74.10°, γ = 90.00°
Sites, in units of the cell vectors:
Be: 0.413 0.413 0.174
Be: 0.587 0.587 0.826
W: 0.000 0.000 0.000
Li: 0.750 0.250 0.500
Li: 0.250 0.750 0.500

Properties
Total magnetic moment ... 0.00 μB/cell
Density of states at the Fermi level ... 1.69 states/eV/f.u.
Uncorrected energy ... -4.5107 eV/atom